(1)
The following is a GGA-PBE calculation of a relaxed structure of LaY2As, from the Alexandria database.

```
data_LaY2As
_cell_length_a 5.3799
_cell_length_b 5.3799
_cell_length_c 5.3799
_cell_angle_alpha 60.00
_cell_angle_beta 60.00
_cell_angle_gamma 60.00
_space_group_name_H-M_alt 'P 1'
_space_group_IT_number 1
loop_
_space_group_symop_operation_xyz
'x,y,z'
loop_
_atom_site_label
_atom_site_fract_x
_atom_site_fract_y
_atom_site_fract_z
La1 0.0000 0.0000 0.0000
Y1 0.2500 0.2500 0.2500
Y2 0.5000 0.5000 0.5000
As1 0.7500 0.7500 0.7500
```

Total energy (eV/cell): -23.27
ΔH_f (0 K) (meV per atom): -190
Magnetic moment (μB per formula unit): 0.0

(2)
The following is a GGA-PBE calculation of a relaxed structure of LaY2As, from the Alexandria database.

```
data_LaY2As
_cell_length_a 6.6670
_cell_length_b 6.6670
_cell_length_c 6.6670
_cell_angle_alpha 146.52
_cell_angle_beta 134.73
_cell_angle_gamma 57.46
_space_group_name_H-M_alt 'P 1'
_space_group_IT_number 1
loop_
_space_group_symop_operation_xyz
'x,y,z'
loop_
_atom_site_label
_atom_site_fract_x
_atom_site_fract_y
_atom_site_fract_z
La1 0.0000 0.0000 0.0000
Y1 0.4032 0.4032 0.0000
Y2 0.7000 0.2000 0.5000
As1 0.2140 0.7140 0.5000
```

Total energy (eV/cell): -24.62
ΔH_f (0 K) (meV per atom): -528
Magnetic moment (μB per formula unit): 0.0

(3)
The following is a GGA-PBE calculation of a relaxed structure of LaYAs3, from the Alexandria database.

```
data_LaYAs3
_cell_length_a 5.4395
_cell_length_b 5.4395
_cell_length_c 5.4395
_cell_angle_alpha 90.00
_cell_angle_beta 90.00
_cell_angle_gamma 90.00
_space_group_name_H-M_alt 'P 1'
_space_group_IT_number 1
loop_
_space_group_symop_operation_xyz
'x,y,z'
loop_
_atom_site_label
_atom_site_fract_x
_atom_site_fract_y
_atom_site_fract_z
La1 0.0000 0.0000 0.0000
Y1 0.5000 0.5000 0.5000
As1 0.0000 0.0000 0.5000
As2 0.0000 0.5000 0.0000
As3 0.5000 0.0000 0.0000
```

Total energy (eV/cell): -24.85
Energy above the lowest structure with this stoichiometry (meV per atom): 518
ΔH_f (0 K) (meV per atom): 97
Magnetic moment (μB per formula unit): 0.0

(4)
The following is a GGA-PBE calculation of a relaxed structure of LaY2As, from the Alexandria database.

```
data_LaY2As
_cell_length_a 6.3333
_cell_length_b 6.3333
_cell_length_c 3.6399
_cell_angle_alpha 104.65
_cell_angle_beta 104.65
_cell_angle_gamma 117.85
_space_group_name_H-M_alt 'P 1'
_space_group_IT_number 1
loop_
_space_group_symop_operation_xyz
'x,y,z'
loop_
_atom_site_label
_atom_site_fract_x
_atom_site_fract_y
_atom_site_fract_z
La1 0.0000 0.0000 0.0000
Y1 0.0000 0.5000 0.5000
Y2 0.5000 0.0000 0.5000
As1 0.5000 0.5000 0.0000
```

Total energy (eV/cell): -23.65
ΔH_f (0 K) (meV per atom): -285
Magnetic moment (μB per formula unit): 0.0

(5)
The following is a GGA-PBE calculation of a relaxed structure of LaY2As, from the Alexandria database.

```
data_LaY2As
_cell_length_a 6.6515
_cell_length_b 6.6515
_cell_length_c 6.6515
_cell_angle_alpha 146.88
_cell_angle_beta 132.48
_cell_angle_gamma 59.14
_space_group_name_H-M_alt 'P 1'
_space_group_IT_number 1
loop_
_space_group_symop_operation_xyz
'x,y,z'
loop_
_atom_site_label
_atom_site_fract_x
_atom_site_fract_y
_atom_site_fract_z
La1 0.0000 0.0000 0.0000
Y1 0.3044 0.8044 0.5000
Y2 0.6956 0.1956 0.5000
As1 0.5000 0.5000 0.0000
```

Total energy (eV/cell): -24.97
ΔH_f (0 K) (meV per atom): -616
Magnetic moment (μB per formula unit): 0.0

(6)
The following is a GGA-PBE calculation of a relaxed structure of LaY4As5, from the Alexandria database.

```
data_LaY4As5
_cell_length_a 7.2278
_cell_length_b 7.2278
_cell_length_c 10.2341
_cell_angle_alpha 118.11
_cell_angle_beta 118.11
_cell_angle_gamma 33.60
_space_group_name_H-M_alt 'P 1'
_space_group_IT_number 1
loop_
_space_group_symop_operation_xyz
'x,y,z'
loop_
_atom_site_label
_atom_site_fract_x
_atom_site_fract_y
_atom_site_fract_z
La1 0.0000 0.0000 0.0000
Y1 0.2006 0.2006 0.7958
Y2 0.4018 0.4018 0.6000
Y3 0.5982 0.5982 0.4000
Y4 0.7994 0.7994 0.2042
As1 0.0000 0.0000 0.5000
As2 0.2027 0.2027 0.3072
As3 0.3951 0.3951 0.1040
As4 0.6049 0.6049 0.8960
As5 0.7973 0.7973 0.6928
```

Total energy (eV/cell): -69.54
ΔH_f (0 K) (meV per atom): -1551
Magnetic moment (μB per formula unit): 0.0

(7)
The following is a GGA-PBE calculation of a relaxed structure of LaY5As6, from the Alexandria database.

```
data_LaY5As6
_cell_length_a 7.2210
_cell_length_b 7.2210
_cell_length_c 7.2202
_cell_angle_alpha 99.61
_cell_angle_beta 99.61
_cell_angle_gamma 119.98
_space_group_name_H-M_alt 'P 1'
_space_group_IT_number 1
loop_
_space_group_symop_operation_xyz
'x,y,z'
loop_
_atom_site_label
_atom_site_fract_x
_atom_site_fract_y
_atom_site_fract_z
La1 0.0000 0.0000 0.0000
Y1 0.1652 0.8348 0.5000
Y2 0.3329 0.6671 0.0000
Y3 0.5000 0.5000 0.5000
Y4 0.6671 0.3329 0.0000
Y5 0.8348 0.1652 0.5000
As1 0.0849 0.4251 0.2546
As2 0.2558 0.2558 0.7466
As3 0.4251 0.0849 0.2546
As4 0.5749 0.9151 0.7454
As5 0.7442 0.7442 0.2534
As6 0.9151 0.5749 0.7454
```

Total energy (eV/cell): -83.76
ΔH_f (0 K) (meV per atom): -1551
Magnetic moment (μB per formula unit): 0.0

(8)
The following is a GGA-PBE calculation of a relaxed structure of LaY2As, from the Alexandria database.

```
data_LaY2As
_cell_length_a 3.7364
_cell_length_b 3.7364
_cell_length_c 8.0032
_cell_angle_alpha 90.00
_cell_angle_beta 90.00
_cell_angle_gamma 90.00
_space_group_name_H-M_alt 'P 1'
_space_group_IT_number 1
loop_
_space_group_symop_operation_xyz
'x,y,z'
loop_
_atom_site_label
_atom_site_fract_x
_atom_site_fract_y
_atom_site_fract_z
La1 0.0000 0.0000 0.0000
Y1 0.5000 0.5000 0.3045
Y2 0.5000 0.5000 0.6955
As1 0.0000 0.0000 0.5000
```

Total energy (eV/cell): -24.77
ΔH_f (0 K) (meV per atom): -566
Magnetic moment (μB per formula unit): 0.0

> Look up the magnetic moment of the second one.

0.0 μB per formula unit